Record 1
The following is a GGA-PBE calculation of a relaxed Tb7Co2Hg2 crystal, from Alexandria via LeMat-Bulk.

The total magnetization comes out at 0.000 μB per atom. The calculation puts the energy above the most stable polymorph in this dataset at 0.000 eV/atom.

The structure belongs to space group Imm2 (No. 44); the cell edges are 3.826, 15.911 and 9.527 Å and the angles 90.00°, 90.00° and 90.00°. The asymmetric unit holds Tb at (0.000, 0.000, 0.000), Tb at (0.000, 0.100, 0.620), Tb at (0.000, 0.325, 0.396), Tb at (0.000, 0.389, 0.792), Co at (0.000, 0.000, 0.370), Co at (0.000, 0.500, 0.293) and Hg at (0.000, 0.238, 0.113).

=====

Record 2
The following is a GGA-PBE calculation of a relaxed Tb3CoHg2 crystal, from Alexandria via LeMat-Bulk.

The total magnetization comes out at 0.000 μB per atom.

The structure belongs to space group P-1 (No. 2); the cell edges are 5.159, 7.145 and 8.421 Å and the angles 90.04°, 107.69° and 90.00°. The asymmetric unit holds Tb at (0.008, 0.250, 0.000), Tb at (0.368, 0.000, 0.735), Tb at (0.368, 0.500, 0.735), Co at (0.492, 0.750, 0.000), Hg at (0.194, 0.250, 0.389) and Hg at (0.195, 0.750, 0.389).

=====

For reference, ΔH_f (0 K) by record: -0.19 -0.32 eV/atom.